First-principles (GGA-PBE) data for MnAs4 after structural relaxation, as listed in the Alexandria database.

The value obtained for the total energy is -53.2 eV for the cell shown. The crystal system is cubic. As for the energy relative to the elements: 0.237 eV per atom.

Cell lengths 5.8779, 5.8779, 5.8779 Å; angles 90.00, 90.00, 90.00 degrees
Space group Im-3m (No. 229)
Inequivalent atoms, fractional coordinates:
Mn 0.0000 0.0000 0.0000 [2 per cell]
As 0.2500 0.2500 0.2500 [8 per cell]